[1]
Compound: U4Ni3Sb8
Source: the Alexandria database
Functional: PBE-GGA
Structure: relaxed

abc: 4.3492 4.3492 18.0633
angles: 90.00 90.00 90.00
Element x y z (fractional)
1 U 0.0000 0.5000 0.1117
2 U 0.0000 0.5000 0.6161
3 U 0.5000 0.0000 0.3839
4 U 0.5000 0.0000 0.8883
5 Ni 0.0000 0.0000 0.0000
6 Ni 0.0000 0.0000 0.5000
7 Ni 0.5000 0.5000 0.5000
8 Sb 0.0000 0.0000 0.2472
9 Sb 0.0000 0.0000 0.7528
10 Sb 0.0000 0.5000 0.4194
11 Sb 0.0000 0.5000 0.9251
12 Sb 0.5000 0.0000 0.0749
13 Sb 0.5000 0.0000 0.5806
14 Sb 0.5000 0.5000 0.2476
15 Sb 0.5000 0.5000 0.7524

Summary:
Raw formation energy   -0.3435 eV per atom
D(E_F)   28.47 states/eV/cell
Total energy   -6.709 eV/atom

=====

[2]
Compound: UNi2Sb
Source: the Alexandria database
Functional: PBE-GGA
Structure: relaxed

abc: 4.4251 4.4251 3.6231
angles: 90.00 90.00 90.00
Element x y z (fractional)
1 U 0.0000 0.0000 0.0000
2 Ni 0.0000 0.5000 0.5000
3 Ni 0.5000 0.0000 0.5000
4 Sb 0.5000 0.5000 0.0000

Summary:
Raw formation energy   0.0060 eV per atom
D(E_F)   8.44 states/eV/cell
Total energy   -6.737 eV/atom